Entry 1:
Computed, not measured: a relaxed structure of Pm2Pr2Y4Tm at the PBE level of DFT.

a = 18.911 Å, b = 3.644 Å, c = 9.694 Å
α = 90.00°, β = 115.71°, γ = 90.00°
Space group C2/m (No. 12)
Asymmetric unit:
Pm 0.148 0.000 0.163 [4 per cell]
Pr 0.164 0.500 0.500 [4 per cell]
Y 0.019 0.500 0.832 [4 per cell]
Y 0.185 0.000 0.835 [4 per cell]
Tm 0.000 0.000 0.500 [2 per cell]

For the total energy, the calculation gives -5.48 eV/atom. The calculation puts the formation energy at 3.1 meV/atom.



Entry 2:
Computed, not measured: a relaxed structure of TcSbCl2 at the PBE level of DFT.

a = 4.318 Å, b = 3.183 Å, c = 7.771 Å
α = 90.00°, β = 105.93°, γ = 90.00°
Space group Pm (No. 6)
Asymmetric unit:
Tc 0.000 0.000 0.000 [1 per cell]
Sb 0.569 0.500 0.139 [1 per cell]
Cl 0.164 0.000 0.332 [1 per cell]
Cl 0.884 0.500 0.764 [1 per cell]

For the total energy, the calculation gives -4.69 eV/atom. As for the formation energy without anion corrections: -0.1419 eV/atom.



Entry 3:
Computed, not measured: a relaxed structure of Rb2TlSb2Pt at the PBE level of DFT.

a = 7.703 Å, b = 15.719 Å, c = 7.327 Å
α = 90.00°, β = 90.00°, γ = 90.00°
Space group Ibam (No. 72)
Asymmetric unit:
Rb 0.243 0.169 0.000 [8 per cell]
Tl 0.000 0.000 0.250 [4 per cell]
Sb 0.190 0.418 0.000 [8 per cell]
Pt 0.000 0.500 0.250 [4 per cell]

For the total energy, the calculation gives -3.42 eV/atom. As for the formation energy without anion corrections: -0.3230 eV/atom.



Entry 4:
Computed, not measured: a relaxed structure of Ac2Pm7Dy at the PBE level of DFT.

a = 12.277 Å, b = 17.469 Å, c = 3.624 Å
α = 90.00°, β = 90.00°, γ = 90.00°
Space group Cmmm (No. 65)
Asymmetric unit:
Ac 0.000 0.175 0.000 [4 per cell]
Pm 0.000 0.338 0.500 [4 per cell]
Pm 0.000 0.500 0.000 [2 per cell]
Pm 0.241 0.385 0.000 [8 per cell]
Dy 0.000 0.000 0.500 [2 per cell]

For the total energy, the calculation gives -4.17 eV/atom. The calculation puts the formation energy at 442.0 meV/atom.



Entry 5:
Computed, not measured: a relaxed structure of Sr2Cd15Ga2 at the PBE level of DFT.

a = 10.3165 Å, b = 10.3165 Å, c = 14.8164 Å
α = 90.00°, β = 90.00°, γ = 120.00°
Space group R-3m (No. 166, hexagonal axes)
Asymmetric unit:
Sr 0.0000 0.0000 0.1703 [6 per cell]
Cd 0.0000 0.3037 0.5000 [18 per cell]
Cd 0.0000 0.5000 0.0000 [9 per cell]
Cd 0.0133 0.5067 0.6531 [18 per cell]
Ga 0.0000 0.0000 0.4079 [6 per cell]

For the total energy, the calculation gives -1.36 eV/atom. The calculation puts the formation energy at -145.6 meV/atom.



Entry 6:
Computed, not measured: a relaxed structure of LaAsOs2 at the PBE level of DFT.

a = 3.088 Å, b = 4.885 Å, c = 4.929 Å
α = 90.00°, β = 90.00°, γ = 90.00°
Space group Pmmm (No. 47)
Asymmetric unit:
La 0.000 0.000 0.000 [1 per cell]
As 0.500 0.000 0.500 [1 per cell]
Os 0.000 0.500 0.500 [1 per cell]
Os 0.500 0.500 0.000 [1 per cell]

For the total energy, the calculation gives -7.52 eV/atom. The calculation puts the formation energy at 487.9 meV/atom.



Entry 7:
Computed, not measured: a relaxed structure of Li12Mg2Cd at the PBE level of DFT.

a = 5.608 Å, b = 5.608 Å, c = 19.825 Å
α = 90.00°, β = 90.00°, γ = 90.00°
Space group P4/nbm (No. 125, origin choice 2)
Asymmetric unit:
Li 0.000 0.000 0.106 [8 per cell]
Li 0.072 0.572 0.437 [8 per cell]
Li 0.250 0.250 0.211 [4 per cell]
Li 0.250 0.250 0.341 [4 per cell]
Mg 0.250 0.750 0.276 [4 per cell]
Cd 0.250 0.750 0.000 [2 per cell]

For the total energy, the calculation gives -1.73 eV/atom. The calculation puts the formation energy at 72.7 meV/atom.



Entry 8:
Computed, not measured: a relaxed structure of MnCdIn2 at the PBE level of DFT.

a = 4.308 Å, b = 4.308 Å, c = 9.226 Å
α = 90.00°, β = 90.00°, γ = 90.00°
Space group I-4m2 (No. 119)
Asymmetric unit:
Mn 0.000 0.000 0.000 [2 per cell]
Cd 0.000 0.500 0.750 [2 per cell]
In 0.000 0.000 0.500 [2 per cell]
In 0.000 0.500 0.250 [2 per cell]

For the total energy, the calculation gives -3.67 eV/atom. The calculation puts the formation energy at 217.8 meV/atom.